No. 1
Below is an optimized crystal structure of Th5CoSn2, with properties calculated at the PBE level.

## Properties
space-group type: Pbam, No. 55
energy relative to the lowest polymorph listed for this composition: 0 meV per atom
ΔE_f: -403 meV/atom

a b c (Å): 4.569 8.198 12.470
angles (deg): 90.00 90.00 90.00
Fractional coordinates of all 16 atoms:
Th (0.000, 0.000, 0.500)
Th (0.000, 0.500, 0.000)
Th (0.000, 0.872, 0.194)
Th (0.000, 0.128, 0.806)
Th (0.000, 0.628, 0.694)
Th (0.000, 0.372, 0.306)
Th (0.500, 0.692, 0.438)
Th (0.500, 0.308, 0.562)
Th (0.500, 0.808, 0.938)
Th (0.500, 0.192, 0.062)
Co (0.000, 0.500, 0.500)
Co (0.000, 0.000, 0.000)
Sn (0.500, 0.584, 0.177)
Sn (0.500, 0.416, 0.823)
Sn (0.500, 0.916, 0.677)
Sn (0.500, 0.084, 0.323)

***

No. 2
Below is an optimized crystal structure of Na10B13C7, with properties calculated at the PBE level.

## Properties
space-group type: Amm2, No. 38
energy relative to the lowest polymorph listed for this composition: 28 meV per atom
ΔE_f: 113 meV/atom

a b c (Å): 7.666 7.666 8.532
angles (deg): 90.00 90.00 142.28
Fractional coordinates of all 30 atoms:
Na (0.200, 0.800, 0.003)
Na (0.200, 0.800, 0.497)
Na (0.400, 0.600, 0.003)
Na (0.400, 0.600, 0.497)
Na (0.998, 0.999, 0.001)
Na (0.998, 0.999, 0.499)
Na (0.599, 0.398, 0.001)
Na (0.599, 0.398, 0.499)
Na (0.801, 0.201, 0.004)
Na (0.801, 0.201, 0.496)
B (0.468, 0.868, 0.250)
B (0.117, 0.517, 0.250)
B (0.462, 0.862, 0.750)
B (0.320, 0.318, 0.750)
B (0.335, 0.335, 0.250)
B (0.686, 0.700, 0.750)
B (0.918, 0.720, 0.750)
B (0.935, 0.735, 0.250)
B (0.300, 0.086, 0.750)
B (0.531, 0.142, 0.250)
B (0.869, 0.458, 0.750)
B (0.742, 0.931, 0.250)
B (0.058, 0.269, 0.750)
C (0.127, 0.527, 0.750)
C (0.675, 0.669, 0.250)
C (0.269, 0.075, 0.250)
C (0.532, 0.122, 0.750)
C (0.866, 0.469, 0.250)
C (0.722, 0.932, 0.750)
C (0.069, 0.266, 0.250)

***

No. 3
Below is an optimized crystal structure of CaZr2Tl, with properties calculated at the PBE level.

## Properties
space-group type: Pmmm, No. 47
energy relative to the lowest polymorph listed for this composition: 259 meV per atom
ΔE_f: 223 meV/atom

a b c (Å): 3.414 4.609 6.420
angles (deg): 90.00 90.00 90.00
Fractional coordinates of all 4 atoms:
Tl (0.500, 0.500, 0.750)
Ca (0.500, 0.500, 0.250)
Zr (0.000, 0.000, 0.989)
Zr (0.000, 0.000, 0.511)

***

| no. | DFT total energy (eV per atom) |
| --- | --- |
| 1 | -6.929 |
| 2 | -5.372 |
| 3 | -5.143 |